6
Lattice="3.553 0.000 0.000 0.000 5.322 0.000 0.000 -2.661 8.388" Properties=species:S:1:pos:R:3 comment="Lu5Mn (PBE, optimized geometry)" volume_a3_per_fu=158.6 formation_enthalpy_0k_ev_per_atom=0.086 final_energy_ev_per_fu=-31.26 pbc="T T T"
Lu 1.777 2.661 6.178
Lu 0.000 0.000 5.282
Lu 0.000 2.661 3.107
Lu 1.777 2.661 0.000
Lu 1.777 0.000 2.210
Mn 0.000 0.000 0.000

---

18
Lattice="-0.721 -3.341 4.599 -1.324 -1.976 -5.213 8.783 -3.264 -0.993" Properties=species:S:1:pos:R:3 comment="CaGaPdF6 (PBE, optimized geometry)" volume_a3_per_fu=133.9 formation_energy_uncorrected_ev_per_fu=-22.5 final_energy_ev_per_fu=-43.97 pbc="T T T"
Ga 5.464 -4.879 -2.687
Ga 1.274 -3.702 1.080
F 2.448 -3.165 -0.358
F 6.812 -4.734 -1.309
F 5.874 -6.738 -3.023
F 5.048 -3.006 -2.453
F 0.864 -1.843 1.415
F 4.088 -5.113 -4.024
F 1.689 -5.575 0.846
F 6.674 -4.267 -4.065
F 0.064 -4.313 2.458
F 2.650 -3.468 2.417
F 4.289 -5.415 -1.249
F -0.074 -3.846 -0.298
Ca 1.073 -3.247 -2.190
Ca 5.665 -5.334 0.583
Pd 0.000 0.000 0.000
Pd 4.391 -1.632 -0.497

---

| no. | N(E_F) (states/eV per cell) |
| --- | --- |
| 1 | 9.7 |
| 2 | 12.3 |